Entry 1:
Entry from the Alexandria database: a relaxed structure of LiHoSc4Se8 (PBE).

Values from the calculation:
SG: R3m, No. 160
Spin magnetization (μB/f.u.): 0.00
Formation energy without anion corrections (eV per formula unit): -23.15

Lattice parameters (Å, degrees): 8.0683 8.0683 8.0683 59.13 59.13 59.13
With the nearest neighbours (Å) after each atom.
Fractional coordinates of all 14 atoms:
Li1 0.0000 0.0000 0.0000  4 Se 2.56-2.60
Ho1 0.3696 0.3696 0.3696  6 Se 2.80-2.88
Sc1 0.3674 0.3674 0.8923  6 Se 2.66-2.81
Sc2 0.3674 0.8923 0.3674  6 Se 2.66-2.81
Sc3 0.7462 0.7462 0.7462  4 Se 2.58-2.62
Sc4 0.8923 0.3674 0.3674  6 Se 2.66-2.81
Se1 0.1227 0.1227 0.6071  1 Li 2.56, 2 Sc 2.66, 1 Ho 2.80
Se2 0.1227 0.6071 0.1227  1 Li 2.56, 2 Sc 2.66, 1 Ho 2.80
Se3 0.1309 0.1309 0.1309  1 Li 2.60, 3 Sc 2.68
Se4 0.1422 0.6229 0.6229  3 Sc 2.58-2.81, 1 Ho 2.88
Se5 0.6071 0.1227 0.1227  1 Li 2.56, 2 Sc 2.66, 1 Ho 2.80
Se6 0.6146 0.6146 0.6146  4 Sc 2.62-2.81
Se7 0.6229 0.1422 0.6229  3 Sc 2.58-2.81, 1 Ho 2.88
Se8 0.6229 0.6229 0.1422  3 Sc 2.58-2.81, 1 Ho 2.88

---

Entry 2:
Entry from the Alexandria database: a relaxed structure of LiHo3Sc2Se6 (PBE).

Values from the calculation:
SG: C2/m, No. 12
Spin magnetization (μB/f.u.): 0.00
Formation energy without anion corrections (eV per formula unit): -20.20

Lattice parameters (Å, degrees): 8.8666 8.8666 7.9243 102.53 102.53 25.92
With the nearest neighbours (Å) after each atom.
Fractional coordinates of all 12 atoms:
Li1 0.0000 0.0000 0.0000  6 Se 2.75-2.76
Ho1 0.0000 0.0000 0.5000  6 Se 2.84-2.87
Ho2 0.3351 0.3351 0.1704  6 Se 2.82-2.88
Ho3 0.6649 0.6649 0.8296  6 Se 2.82-2.88
Sc1 0.3312 0.3312 0.6560  6 Se 2.72-2.81
Sc2 0.6688 0.6688 0.3440  6 Se 2.72-2.81
Se1 0.1640 0.1640 0.0913  1 Li 2.76, 2 Sc 2.81, 3 Ho 2.88
Se2 0.1685 0.1685 0.5785  3 Sc 2.72-2.74, 3 Ho 2.82-2.84
Se3 0.4956 0.4956 0.7586  2 Li 2.75, 1 Sc 2.78, 3 Ho 2.85-2.87
Se4 0.5044 0.5044 0.2414  2 Li 2.75, 1 Sc 2.78, 3 Ho 2.85-2.87
Se5 0.8315 0.8315 0.4215  3 Sc 2.72-2.74, 3 Ho 2.82-2.84
Se6 0.8360 0.8360 0.9087  1 Li 2.76, 2 Sc 2.81, 3 Ho 2.88

---

Entry 3:
Entry from the Alexandria database: a relaxed structure of Li2HoSc2Sn2 (PBE).

Values from the calculation:
SG: R-3m, No. 166
Spin magnetization (μB/f.u.): 0.81
Calculated formation energy (eV per atom): -0.445

Lattice parameters (Å, degrees): 8.7409 8.7409 8.7409 31.09 31.09 31.09
With the nearest neighbours (Å) after each atom.
Fractional coordinates of all 7 atoms:
Li1 0.0805 0.0805 0.0805  3 Sn 2.72, 3 Sc 2.95
Li2 0.9195 0.9195 0.9195  3 Sn 2.72, 3 Sc 2.95
Ho1 0.5000 0.5000 0.5000  6 Sn 3.28, 2 Sc 3.32, 6 Li 3.45
Sc1 0.3671 0.3671 0.3671  3 Li 2.95, 4 Sn 3.08-3.15, 3 Sc 3.18
Sc2 0.6329 0.6329 0.6329  3 Li 2.95, 4 Sn 3.08-3.15, 3 Sc 3.18
Sn1 0.2408 0.2408 0.2408  3 Li 2.72
Sn2 0.7592 0.7592 0.7592  3 Li 2.72

---

Entry 4:
Entry from the Alexandria database: a relaxed structure of LiTbHoSc (PBE).

Values from the calculation:
SG: F-43m, No. 216
Spin magnetization (μB/f.u.): 0.00
Calculated formation energy (eV per atom): 0.154

Lattice parameters (Å, degrees): 7.5348 7.5348 7.5348 90.00 90.00 90.00
With the nearest neighbours (Å) after each atom.
Fractional coordinates of all 16 atoms:
Li1 0.0000 0.0000 0.0000  4 Tb 3.26, 4 Ho 3.26
Li2 0.0000 0.5000 0.5000  4 Tb 3.26, 4 Ho 3.26
Li3 0.5000 0.0000 0.5000  4 Tb 3.26, 4 Ho 3.26
Li4 0.5000 0.5000 0.0000  4 Tb 3.26, 4 Ho 3.26
Tb1 0.2500 0.2500 0.2500  4 Li 3.26, 4 Sc 3.26
Tb2 0.2500 0.7500 0.7500  4 Li 3.26, 4 Sc 3.26
Tb3 0.7500 0.2500 0.7500  4 Li 3.26, 4 Sc 3.26
Tb4 0.7500 0.7500 0.2500  4 Li 3.26, 4 Sc 3.26
Ho1 0.2500 0.2500 0.7500  4 Li 3.26, 4 Sc 3.26
Ho2 0.2500 0.7500 0.2500  4 Li 3.26, 4 Sc 3.26
Ho3 0.7500 0.2500 0.2500  4 Li 3.26, 4 Sc 3.26
Ho4 0.7500 0.7500 0.7500  4 Li 3.26, 4 Sc 3.26
Sc1 0.0000 0.0000 0.5000  4 Ho 3.26, 4 Tb 3.26
Sc2 0.0000 0.5000 0.0000  4 Tb 3.26, 4 Ho 3.26
Sc3 0.5000 0.0000 0.0000  4 Tb 3.26, 4 Ho 3.26
Sc4 0.5000 0.5000 0.5000  4 Tb 3.26, 4 Ho 3.26

---

Entry 5:
Entry from the Alexandria database: a relaxed structure of LiHo3Sc2Te6 (PBE).

Values from the calculation:
SG: C2/m, No. 12
Spin magnetization (μB/f.u.): 0.00
Formation energy without anion corrections (eV per formula unit): -14.71

Lattice parameters (Å, degrees): 9.5239 9.5239 8.5134 102.90 102.90 25.85
With the nearest neighbours (Å) after each atom.
Fractional coordinates of all 12 atoms:
Li1 0.0000 0.0000 0.0000  6 Te 2.95-2.96
Ho1 0.0000 0.0000 0.5000  6 Te 3.04-3.08
Ho2 0.3340 0.3340 0.1706  6 Te 3.03-3.09
Ho3 0.6660 0.6660 0.8294  6 Te 3.03-3.09
Sc1 0.3308 0.3308 0.6566  6 Te 2.92-3.01
Sc2 0.6692 0.6692 0.3434  6 Te 2.92-3.01
Te1 0.1635 0.1635 0.0907  1 Li 2.96, 2 Sc 3.01, 3 Ho 3.08-3.09
Te2 0.1684 0.1684 0.5779  3 Sc 2.92-2.94, 3 Ho 3.03-3.04
Te3 0.4960 0.4960 0.7590  2 Li 2.95, 1 Sc 2.99, 3 Ho 3.07-3.08
Te4 0.5040 0.5040 0.2410  2 Li 2.95, 1 Sc 2.99, 3 Ho 3.07-3.08
Te5 0.8316 0.8316 0.4221  3 Sc 2.92-2.94, 3 Ho 3.03-3.04
Te6 0.8365 0.8365 0.9093  1 Li 2.96, 2 Sc 3.01, 3 Ho 3.08-3.09

---

Entry 6:
Entry from the Alexandria database: a relaxed structure of LiHo2Sc3Te6 (PBE).

Values from the calculation:
SG: C2/m, No. 12
Spin magnetization (μB/f.u.): 0.00
Formation energy without anion corrections (eV per formula unit): -14.36

Lattice parameters (Å, degrees): 9.4717 9.4717 8.4900 103.23 103.23 25.73
With the nearest neighbours (Å) after each atom.
Fractional coordinates of all 12 atoms:
Li1 0.0000 0.0000 0.0000  6 Te 2.96-2.99
Ho1 0.3321 0.3321 0.6635  6 Te 3.03-3.07
Ho2 0.6679 0.6679 0.3365  6 Te 3.03-3.07
Sc1 0.0000 0.0000 0.5000  6 Te 2.92-2.99
Sc2 0.3304 0.3304 0.1713  6 Te 2.91-2.99
Sc3 0.6696 0.6696 0.8287  6 Te 2.91-2.99
Te1 0.1627 0.1627 0.5895  3 Sc 2.91-2.92, 3 Ho 3.03-3.04
Te2 0.1646 0.1646 0.0720  1 Li 2.96, 3 Sc 2.97-2.98, 2 Ho 3.07
Te3 0.4971 0.4971 0.2485  2 Li 2.99, 3 Sc 2.99, 1 Ho 3.07
Te4 0.5029 0.5029 0.7515  2 Li 2.99, 3 Sc 2.99, 1 Ho 3.07
Te5 0.8354 0.8354 0.9280  1 Li 2.96, 3 Sc 2.97-2.98, 2 Ho 3.07
Te6 0.8373 0.8373 0.4105  3 Sc 2.91-2.92, 3 Ho 3.03-3.04

---

Entry 7:
Entry from the Alexandria database: a relaxed structure of Li3Ho3ScTe8 (PBE).

Values from the calculation:
SG: R-3m, No. 166
Spin magnetization (μB/f.u.): 0.00
Formation energy without anion corrections (eV per formula unit): -18.08

Lattice parameters (Å, degrees): 8.6260 8.6260 8.6260 59.16 59.16 59.16
With the nearest neighbours (Å) after each atom.
Fractional coordinates of all 15 atoms:
Li1 0.0000 0.5000 0.5000  6 Te 3.00-3.01
Li2 0.5000 0.0000 0.5000  6 Te 3.00-3.01
Li3 0.5000 0.5000 0.0000  6 Te 3.00-3.01
Ho1 0.0000 0.0000 0.5000  6 Te 3.06
Ho2 0.0000 0.5000 0.0000  6 Te 3.06
Ho3 0.5000 0.0000 0.0000  6 Te 3.06
Sc1 0.5000 0.5000 0.5000  6 Te 2.97
Te1 0.2526 0.2526 0.2526  3 Li 3.00, 3 Ho 3.06
Te2 0.2553 0.2553 0.7407  1 Sc 2.97, 2 Li 3.01, 2 Ho 3.06
Te3 0.2553 0.7407 0.2553  1 Sc 2.97, 2 Li 3.01, 2 Ho 3.06
Te4 0.2593 0.7447 0.7447  1 Sc 2.97, 2 Li 3.01, 2 Ho 3.06
Te5 0.7407 0.2553 0.2553  1 Sc 2.97, 2 Li 3.01, 2 Ho 3.06
Te6 0.7447 0.2593 0.7447  1 Sc 2.97, 2 Li 3.01, 2 Ho 3.06
Te7 0.7447 0.7447 0.2593  1 Sc 2.97, 2 Li 3.01, 2 Ho 3.06
Te8 0.7474 0.7474 0.7474  3 Li 3.00, 3 Ho 3.06

---

Entry 8:
Entry from the Alexandria database: a relaxed structure of LiHoScTe3 (PBE).

Values from the calculation:
SG: P2_1/m, No. 11
Spin magnetization (μB/f.u.): 0.01
Formation energy without anion corrections (eV per formula unit): -6.94

Lattice parameters (Å, degrees): 8.5254 4.1485 9.3768 90.00 104.59 90.00
With the nearest neighbours (Å) after each atom.
Fractional coordinates of all 12 atoms:
Li1 0.0888 0.2500 0.0887  4 Te 2.71-2.78, 2 Li 2.84
Li2 0.9112 0.7500 0.9113  4 Te 2.71-2.78, 2 Li 2.84
Ho1 0.1890 0.2500 0.7375  7 Te 3.09-3.25
Ho2 0.8110 0.7500 0.2625  7 Te 3.09-3.25
Sc1 0.3345 0.7500 0.3364  6 Te 2.91-3.04
Sc2 0.6655 0.2500 0.6636  6 Te 2.91-3.04
Te1 0.0951 0.2500 0.3790  1 Li 2.71, 2 Sc 3.01
Te2 0.2479 0.7500 0.0019  3 Li 2.71-2.78, 1 Sc 3.04
Te3 0.4252 0.7500 0.6624  3 Sc 2.91-2.96, 2 Ho 3.09
Te4 0.5748 0.2500 0.3376  3 Sc 2.91-2.96, 2 Ho 3.09
Te5 0.7521 0.2500 0.9981  3 Li 2.71-2.78, 1 Sc 3.04
Te6 0.9049 0.7500 0.6210  1 Li 2.71, 2 Sc 3.01

---

Entry 9:
Entry from the Alexandria database: a relaxed structure of LiHo3Sc3Te8 (PBE).

Values from the calculation:
SG: R-3m, No. 166
Spin magnetization (μB/f.u.): 0.00
Formation energy without anion corrections (eV per formula unit): -18.36

Lattice parameters (Å, degrees): 8.4736 8.4736 8.4736 59.91 59.91 59.91
With the nearest neighbours (Å) after each atom.
Fractional coordinates of all 15 atoms:
Li1 0.0000 0.0000 0.0000  6 Te 3.00
Ho1 0.0000 0.0000 0.5000  6 Te 3.04-3.05
Ho2 0.0000 0.5000 0.0000  6 Te 3.04-3.05
Ho3 0.5000 0.0000 0.0000  6 Te 3.04-3.05
Sc1 0.0000 0.5000 0.5000  6 Te 2.94
Sc2 0.5000 0.0000 0.5000  6 Te 2.94
Sc3 0.5000 0.5000 0.0000  6 Te 2.94
Te1 0.2508 0.2508 0.7409  2 Sc 2.94, 1 Li 3.00, 2 Ho 3.04
Te2 0.2508 0.7409 0.2508  2 Sc 2.94, 1 Li 3.00, 2 Ho 3.04
Te3 0.2544 0.2544 0.2544  3 Sc 2.94, 3 Ho 3.05
Te4 0.2591 0.7492 0.7492  2 Sc 2.94, 1 Li 3.00, 2 Ho 3.04
Te5 0.7409 0.2508 0.2508  2 Sc 2.94, 1 Li 3.00, 2 Ho 3.04
Te6 0.7456 0.7456 0.7456  3 Sc 2.94, 3 Ho 3.05
Te7 0.7492 0.2591 0.7492  2 Sc 2.94, 1 Li 3.00, 2 Ho 3.04
Te8 0.7492 0.7492 0.2591  2 Sc 2.94, 1 Li 3.00, 2 Ho 3.04

---

Entry 10:
Entry from the Alexandria database: a relaxed structure of Li2HoScTe4 (PBE).

Values from the calculation:
SG: P2/m, No. 10
Spin magnetization (μB/f.u.): 0.00
Formation energy without anion corrections (eV per formula unit): -9.81

Lattice parameters (Å, degrees): 7.3556 4.2477 7.4264 90.00 109.23 90.00
With the nearest neighbours (Å) after each atom.
Fractional coordinates of all 8 atoms:
Li1 0.0000 0.0000 0.0000  6 Te 3.06
Li2 0.5000 0.5000 0.0000  6 Te 2.97-2.98
Ho1 0.0000 0.5000 0.5000  6 Te 3.05
Sc1 0.5000 0.0000 0.5000  6 Te 2.97
Te1 0.2599 0.0000 0.7522  1 Sc 2.97, 3 Li 2.98-3.06, 2 Ho 3.05
Te2 0.2606 0.5000 0.2538  2 Sc 2.97, 3 Li 2.97-3.06, 1 Ho 3.05
Te3 0.7394 0.5000 0.7462  2 Sc 2.97, 3 Li 2.97-3.06, 1 Ho 3.05
Te4 0.7401 0.0000 0.2478  1 Sc 2.97, 3 Li 2.98-3.06, 2 Ho 3.05

---

Entry 11:
Entry from the Alexandria database: a relaxed structure of LiHo2ScTe4 (PBE).

Values from the calculation:
SG: P2/m, No. 10
Spin magnetization (μB/f.u.): 0.00
Formation energy without anion corrections (eV per formula unit): -9.97

Lattice parameters (Å, degrees): 7.3598 4.2495 7.4163 90.00 109.23 90.00
With the nearest neighbours (Å) after each atom.
Fractional coordinates of all 8 atoms:
Li1 0.0000 0.0000 0.0000  6 Te 2.94-2.96
Ho1 0.5000 0.0000 0.5000  6 Te 3.08
Ho2 0.5000 0.5000 0.0000  6 Te 3.06-3.07
Sc1 0.0000 0.5000 0.5000  6 Te 2.97
Te1 0.2358 0.0000 0.7479  1 Li 2.94, 2 Sc 2.97, 3 Ho 3.07-3.08
Te2 0.2361 0.5000 0.2442  2 Li 2.96, 1 Sc 2.97, 3 Ho 3.06-3.08
Te3 0.7642 0.0000 0.2521  1 Li 2.94, 2 Sc 2.97, 3 Ho 3.07-3.08
Te4 0.7639 0.5000 0.7558  2 Li 2.96, 1 Sc 2.97, 3 Ho 3.06-3.08

---

Entry 12:
Entry from the Alexandria database: a relaxed structure of LiHoScTl (PBE).

Values from the calculation:
SG: F-43m, No. 216
Spin magnetization (μB/f.u.): 0.01
Calculated formation energy (eV per atom): -0.174

Lattice parameters (Å, degrees): 7.2460 7.2460 7.2460 90.00 90.00 90.00
With the nearest neighbours (Å) after each atom.
Fractional coordinates of all 16 atoms:
Li1 0.0000 0.0000 0.0000  4 Ho 3.14, 4 Sc 3.14
Li2 0.0000 0.5000 0.5000  4 Ho 3.14, 4 Sc 3.14
Li3 0.5000 0.0000 0.5000  4 Ho 3.14, 4 Sc 3.14
Li4 0.5000 0.5000 0.0000  4 Ho 3.14, 4 Sc 3.14
Ho1 0.2500 0.2500 0.2500  4 Tl 3.14, 4 Li 3.14
Ho2 0.2500 0.7500 0.7500  4 Tl 3.14, 4 Li 3.14
Ho3 0.7500 0.2500 0.7500  4 Tl 3.14, 4 Li 3.14
Ho4 0.7500 0.7500 0.2500  4 Tl 3.14, 4 Li 3.14
Sc1 0.2500 0.2500 0.7500  4 Tl 3.14, 4 Li 3.14
Sc2 0.2500 0.7500 0.2500  4 Tl 3.14, 4 Li 3.14
Sc3 0.7500 0.2500 0.2500  4 Tl 3.14, 4 Li 3.14
Sc4 0.7500 0.7500 0.7500  4 Li 3.14, 4 Tl 3.14
Tl1 0.0000 0.0000 0.5000  4 Ho 3.14, 4 Sc 3.14
Tl2 0.0000 0.5000 0.0000  4 Ho 3.14, 4 Sc 3.14
Tl3 0.5000 0.0000 0.0000  4 Ho 3.14, 4 Sc 3.14
Tl4 0.5000 0.5000 0.5000  4 Ho 3.14, 4 Sc 3.14

---

Question: spin magnetization of number 12 (LiHoScTl)?
Answer: 0.01 μB/f.u.

---

Question: The highest spin magnetization belongs to which entry?
Answer: Li2HoSc2Sn2

---

Repeat the fifth record exactly.
Entry from the Alexandria database: a relaxed structure of LiHo3Sc2Te6 (PBE).

Values from the calculation:
SG: C2/m, No. 12
Spin magnetization (μB/f.u.): 0.00
Formation energy without anion corrections (eV per formula unit): -14.71

Lattice parameters (Å, degrees): 9.5239 9.5239 8.5134 102.90 102.90 25.85
With the nearest neighbours (Å) after each atom.
Fractional coordinates of all 12 atoms:
Li1 0.0000 0.0000 0.0000  6 Te 2.95-2.96
Ho1 0.0000 0.0000 0.5000  6 Te 3.04-3.08
Ho2 0.3340 0.3340 0.1706  6 Te 3.03-3.09
Ho3 0.6660 0.6660 0.8294  6 Te 3.03-3.09
Sc1 0.3308 0.3308 0.6566  6 Te 2.92-3.01
Sc2 0.6692 0.6692 0.3434  6 Te 2.92-3.01
Te1 0.1635 0.1635 0.0907  1 Li 2.96, 2 Sc 3.01, 3 Ho 3.08-3.09
Te2 0.1684 0.1684 0.5779  3 Sc 2.92-2.94, 3 Ho 3.03-3.04
Te3 0.4960 0.4960 0.7590  2 Li 2.95, 1 Sc 2.99, 3 Ho 3.07-3.08
Te4 0.5040 0.5040 0.2410  2 Li 2.95, 1 Sc 2.99, 3 Ho 3.07-3.08
Te5 0.8316 0.8316 0.4221  3 Sc 2.92-2.94, 3 Ho 3.03-3.04
Te6 0.8365 0.8365 0.9093  1 Li 2.96, 2 Sc 3.01, 3 Ho 3.08-3.09

---

Question: Which formula does entry 9 have?
Answer: LiHo3Sc3Te8